A relaxed structure of VReI2, computed with PBE-GGA.

a = 6.687 Å, b = 6.687 Å, c = 6.687 Å
α = 90.00°, β = 90.00°, γ = 90.00°
Space group Fm-3m (No. 225)
Unique sites:
1 V 0.000 0.000 0.000
2 Re 0.000 0.000 0.500
3 I 0.250 0.250 0.250

Results
formation energy (no corrections): 1.25 eV/atom
V: 18.69 Å³ per atom
E above lowest polymorph: 96 meV/atom
DOS at the Fermi energy: 17.54 states/eV/cell
magnetization: 0.0 μB per cell